Entry 1:
Density functional theory data (PBE) for an optimized crystal structure of PHOsO.

Lattice parameters (Å, degrees): 8.5973 3.0098 3.7581 90.00 91.20 90.00
Last column: nearest neighbours and their distance in Å.
Space group Cm (No. 8)
Inequivalent atoms, fractional coordinates:
P: 0.0000 0.0000 0.0000 x2  1 H 1.43
H: 0.0085 0.0000 0.3792 x2  1 P 1.43
Os: 0.2858 0.0000 0.9280 x2  2 O 1.87-1.89
O: 0.2812 0.0000 0.4309 x2  2 Os 1.87-1.89

- Offset from the most stable computed form: 175.2 meV/atom


Entry 2:
Density functional theory data (PBE) for an optimized crystal structure of KLa3Ni.

Lattice parameters (Å, degrees): 5.7417 5.7417 5.7417 90.00 90.00 90.00
Last column: nearest neighbours and their distance in Å.
Space group Pm-3m (No. 221)
Inequivalent atoms, fractional coordinates:
K: 0.0000 0.0000 0.0000 x1  12 La 4.06
La: 0.0000 0.5000 0.5000 x3  2 Ni 2.87
Ni: 0.5000 0.5000 0.5000 x1  6 La 2.87

- Formation energy from the elements: 0.62 eV/f.u.
- Offset from the most stable computed form: 0.0 meV/atom


Entry 3:
Density functional theory data (PBE) for an optimized crystal structure of AcTmNbO6.

Lattice parameters (Å, degrees): 5.1538 5.1538 10.4994 90.00 90.00 90.00
Last column: nearest neighbours and their distance in Å.
Space group P4_2nm (No. 102)
Inequivalent atoms, fractional coordinates:
Ac: 0.0000 0.0000 0.0000 x2  6 O 2.40-2.55
Tm: 0.0000 0.0000 0.3325 x2  6 O 2.24-2.26
Nb: 0.0000 0.0000 0.6668 x2  6 O 2.00-2.07
O: 0.1708 0.1708 0.5098 x4  1 Nb 2.07, 1 Tm 2.24
O: 0.1962 0.1962 0.7993 x4  1 Nb 2.00
O: 0.2233 0.2233 0.1832 x4  1 Nb 2.02, 1 Tm 2.26

- Uncorrected formation energy: -2.8605 eV/atom


Entry 4:
Density functional theory data (PBE) for an optimized crystal structure of Sr2As2I.

Lattice parameters (Å, degrees): 8.7711 8.7711 4.2356 90.00 90.00 90.00
Last column: nearest neighbours and their distance in Å.
Space group P4/mbm (No. 127)
Inequivalent atoms, fractional coordinates:
Sr: 0.1741 0.3259 0.0000 x4  2 I 3.24, 6 As 3.26-3.53
As: 0.0980 0.5980 0.5000 x4  1 As 2.43
I: 0.0000 0.0000 0.0000 x2  4 Sr 3.24

- Uncorrected formation energy: -1.0363 eV/atom
- Offset from the most stable computed form: 0.0 meV/atom